No. 1
An optimized crystal structure of BaTa2O6. Source: OQMD via LeMat-Bulk, functional GGA-PBE.

As for the calculated density: 7.7 g/cm3. For the total energy, the calculation gives -9.130 eV per atom.

Cell lengths 10.4692, 3.9330, 6.2042 Å; angles 90.00, 90.00, 90.00 degrees
Atoms (fractional coordinates):
Ba  0.2500  0.0000  0.1857
Ba  0.7500  0.0000  0.8143
Ta  0.0761  0.5000  0.7148
Ta  0.4239  0.5000  0.7148
Ta  0.5761  0.5000  0.2852
Ta  0.9239  0.5000  0.2852
O  0.0000  0.5000  0.0000
O  0.0818  0.0000  0.7193
O  0.1096  0.5000  0.3963
O  0.2500  0.5000  0.8420
O  0.3904  0.5000  0.3963
O  0.4182  0.0000  0.7193
O  0.5000  0.5000  0.0000
O  0.5818  0.0000  0.2807
O  0.6096  0.5000  0.6037
O  0.7500  0.5000  0.1580
O  0.8904  0.5000  0.6037
O  0.9182  0.0000  0.2807



No. 2
An optimized crystal structure of Ba4Ta2O9. Source: OQMD via LeMat-Bulk, functional GGA-PBE.

As for the calculated density: 6.6 g/cm3. For the total energy, the calculation gives -8.005 eV per atom.

Cell lengths 6.1040, 6.1040, 16.4574 Å; angles 90.00, 90.00, 120.00 degrees
Atoms (fractional coordinates):
Ba  0.0000  0.0000  0.0000
Ba  0.0000  0.0000  0.2500
Ba  0.0000  0.0000  0.5000
Ba  0.0000  0.0000  0.7500
Ba  0.3333  0.6667  0.1316
Ba  0.3333  0.6667  0.3684
Ba  0.6667  0.3333  0.6316
Ba  0.6667  0.3333  0.8684
Ta  0.3333  0.6667  0.6592
Ta  0.3333  0.6667  0.8408
Ta  0.6667  0.3333  0.1592
Ta  0.6667  0.3333  0.3408
O  0.0428  0.4723  0.7500
O  0.1080  0.7528  0.6072
O  0.1080  0.7528  0.8928
O  0.2472  0.3552  0.6072
O  0.2472  0.3552  0.8928
O  0.3552  0.1080  0.1072
O  0.3552  0.1080  0.3928
O  0.4295  0.9572  0.7500
O  0.4723  0.4295  0.2500
O  0.5277  0.5705  0.7500
O  0.5705  0.0428  0.2500
O  0.6448  0.8920  0.6072
O  0.6448  0.8920  0.8928
O  0.7528  0.6448  0.1072
O  0.7528  0.6448  0.3928
O  0.8920  0.2472  0.1072
O  0.8920  0.2472  0.3928
O  0.9572  0.5277  0.2500



No. 3
An optimized crystal structure of BaTa2O6. Source: OQMD via LeMat-Bulk, functional GGA-PBE.

As for the calculated density: 7.7 g/cm3. For the total energy, the calculation gives -9.098 eV per atom.

Cell lengths 3.9752, 3.9752, 8.0860 Å; angles 90.00, 90.00, 90.00 degrees
Atoms (fractional coordinates):
Ba  0.0000  0.0000  0.0000
Ta  0.5000  0.5000  0.2644
Ta  0.5000  0.5000  0.7356
O  0.0000  0.5000  0.2432
O  0.0000  0.5000  0.7568
O  0.5000  0.0000  0.2432
O  0.5000  0.0000  0.7568
O  0.5000  0.5000  0.0000
O  0.5000  0.5000  0.5000



No. 4
An optimized crystal structure of BaTa2O6. Source: OQMD via LeMat-Bulk, functional GGA-PBE.

As for the calculated density: 5.6 g/cm3. For the total energy, the calculation gives -8.715 eV per atom.

Cell lengths 9.3516, 9.3516, 7.0281 Å; angles 90.00, 90.00, 120.00 degrees
Atoms (fractional coordinates):
Ba  0.0000  0.5763  0.0000
Ba  0.4237  0.4237  0.0000
Ba  0.5763  0.0000  0.0000
Ta  0.0000  0.2565  0.2458
Ta  0.0000  0.2565  0.7542
Ta  0.2565  0.0000  0.2458
Ta  0.2565  0.0000  0.7542
Ta  0.7435  0.7435  0.2458
Ta  0.7435  0.7435  0.7542
O  0.0000  0.1590  0.0000
O  0.0000  0.1750  0.5000
O  0.1590  0.0000  0.0000
O  0.1750  0.0000  0.5000
O  0.1750  0.4592  0.2129
O  0.1750  0.4592  0.7871
O  0.2842  0.8250  0.2129
O  0.2842  0.8250  0.7871
O  0.4592  0.1750  0.2129
O  0.4592  0.1750  0.7871
O  0.5408  0.7158  0.2129
O  0.5408  0.7158  0.7871
O  0.7158  0.5408  0.2129
O  0.7158  0.5408  0.7871
O  0.8250  0.2842  0.2129
O  0.8250  0.2842  0.7871
O  0.8250  0.8250  0.5000
O  0.8410  0.8410  0.0000



No. 5
An optimized crystal structure of BaTa2O6. Source: OQMD via LeMat-Bulk, functional GGA-PBE.

As for the calculated density: 7.0 g/cm3. For the total energy, the calculation gives -9.155 eV per atom.

Cell lengths 5.3617, 5.3617, 5.6323 Å; angles 90.00, 90.00, 120.00 degrees
Atoms (fractional coordinates):
Ba  0.0000  0.0000  0.0000
Ta  0.3333  0.6667  0.5000
Ta  0.6667  0.3333  0.5000
O  0.0000  0.3925  0.7000
O  0.0000  0.6075  0.3000
O  0.3925  0.0000  0.7000
O  0.3925  0.3925  0.3000
O  0.6075  0.0000  0.3000
O  0.6075  0.6075  0.7000



No. 6
An optimized crystal structure of BaTa2O4. Source: OQMD via LeMat-Bulk, functional GGA-PBE.

As for the calculated density: 8.8 g/cm3. For the total energy, the calculation gives -8.512 eV per atom.

Cell lengths 6.6886, 6.6886, 6.6886 Å; angles 60.00, 60.00, 60.00 degrees
Atoms (fractional coordinates):
Ba  0.1250  0.1250  0.1250
Ba  0.8750  0.8750  0.8750
Ta  0.0000  0.5000  0.5000
Ta  0.5000  0.0000  0.5000
Ta  0.5000  0.5000  0.0000
Ta  0.5000  0.5000  0.5000
O  0.2758  0.2758  0.2758
O  0.2758  0.2758  0.6726
O  0.2758  0.6726  0.2758
O  0.3274  0.7242  0.7242
O  0.6726  0.2758  0.2758
O  0.7242  0.3274  0.7242
O  0.7242  0.7242  0.3274
O  0.7242  0.7242  0.7242



- What is the formula in the fifth record?
  BaTa2O6



- What is the formula in the second record?
  Ba4Ta2O9



Please write out number 3 again, unchanged.
An optimized crystal structure of BaTa2O6. Source: OQMD via LeMat-Bulk, functional GGA-PBE.

As for the calculated density: 7.7 g/cm3. For the total energy, the calculation gives -9.098 eV per atom.

Cell lengths 3.9752, 3.9752, 8.0860 Å; angles 90.00, 90.00, 90.00 degrees
Atoms (fractional coordinates):
Ba  0.0000  0.0000  0.0000
Ta  0.5000  0.5000  0.2644
Ta  0.5000  0.5000  0.7356
O  0.0000  0.5000  0.2432
O  0.0000  0.5000  0.7568
O  0.5000  0.0000  0.2432
O  0.5000  0.0000  0.7568
O  0.5000  0.5000  0.0000
O  0.5000  0.5000  0.5000